Entry 1:
The following is a DFT calculation (meta-GGA SCAN) of a PBEsol-optimized structure of Na2TeO4.

Calculated values
VASP energy: -326.5 eV per cell
magnetization: 0.001 μB per formula unit
formation energy (no corrections): -1.573 eV per atom

a b c (Å): 5.7765 12.1881 5.2348
angles (deg): 90.00 90.00 90.00
Space group Pbcn (No. 60)
Inequivalent atoms, fractional coordinates:
Na: 0.0000 0.1406 0.2500 [4 per cell]
Na: 0.0000 0.2749 0.7500 [4 per cell]
Te: 0.0000 0.4282 0.2500 [4 per cell]
O: 0.1799 0.4494 0.5720 [8 per cell]
O: 0.2025 0.3251 0.1115 [8 per cell]


Entry 2:
The following is a DFT calculation (meta-GGA SCAN) of a PBEsol-optimized structure of Na2Te4O9.

Calculated values
VASP energy: -467.1 eV per cell
magnetization: 0.000 μB per formula unit
formation energy (no corrections): -1.336 eV per atom

a b c (Å): 6.8795 7.2946 10.4995
angles (deg): 69.76 75.60 68.71
Space group P-1 (No. 2)
Inequivalent atoms, fractional coordinates:
Na: 0.0211 0.2375 0.4885 [2 per cell]
Na: 0.4774 0.9567 0.3645 [2 per cell]
Te: 0.0104 0.1011 0.1979 [2 per cell]
Te: 0.0353 0.3477 0.7942 [2 per cell]
Te: 0.4767 0.4999 0.3266 [2 per cell]
Te: 0.4905 0.7931 0.9859 [2 per cell]
O: 0.1343 0.0009 0.3555 [2 per cell]
O: 0.1637 0.1347 0.7061 [2 per cell]
O: 0.1651 0.4986 0.3323 [2 per cell]
O: 0.1678 0.8858 0.1081 [2 per cell]
O: 0.2075 0.2737 0.0966 [2 per cell]
O: 0.2079 0.5207 0.6748 [2 per cell]
O: 0.4368 0.1177 0.8832 [2 per cell]
O: 0.4529 0.7799 0.5979 [2 per cell]
O: 0.4628 0.4878 0.8661 [2 per cell]


Entry 3:
The following is a DFT calculation (meta-GGA SCAN) of a PBEsol-optimized structure of NaTeO2.

Calculated values
VASP energy: -230.1 eV per cell
magnetization: 0.000 μB per formula unit
formation energy (no corrections): -0.898 eV per atom

a b c (Å): 4.8454 4.8454 11.8674
angles (deg): 90.00 90.00 90.00
Space group I-42d (No. 122)
Inequivalent atoms, fractional coordinates:
Na: 0.0000 0.0000 0.0000 [4 per cell]
Te: 0.0000 0.0000 0.5000 [4 per cell]
O: 0.2053 0.2500 0.6250 [8 per cell]


Entry 4:
The following is a DFT calculation (meta-GGA SCAN) of a PBEsol-optimized structure of Na2TeO4.

Calculated values
VASP energy: -653.0 eV per cell
magnetization: 0.040 μB per formula unit
formation energy (no corrections): -1.574 eV per atom

a b c (Å): 10.6444 5.1991 13.8763
angles (deg): 90.00 103.39 90.00
Space group P2_1/c (No. 14)
Inequivalent atoms, fractional coordinates:
Na: 0.0432 0.1029 0.1865 [4 per cell]
Na: 0.1293 0.7450 0.5329 [4 per cell]
Na: 0.3545 0.2380 0.1966 [4 per cell]
Na: 0.4312 0.7495 0.1022 [4 per cell]
Te: 0.2235 0.2240 0.4223 [4 per cell]
Te: 0.2914 0.7244 0.3163 [4 per cell]
O: 0.0683 0.1494 0.9423 [4 per cell]
O: 0.1384 0.5976 0.8557 [4 per cell]
O: 0.1839 0.0954 0.7863 [4 per cell]
O: 0.2353 0.6371 0.6895 [4 per cell]
O: 0.2803 0.0817 0.5471 [4 per cell]
O: 0.3229 0.5492 0.4517 [4 per cell]
O: 0.3706 0.0493 0.3772 [4 per cell]
O: 0.4430 0.5830 0.2952 [4 per cell]